1.
## Ho3TmTh2As6 (GGA-PBE)

Data for a geometry-optimized Ho3TmTh2As6 structure.

ΔE_f ... -1.48 eV per atom

Unit cell a=18.0751 b=4.1594 c=8.2837 alpha=90.00 beta=103.16 gamma=90.00
Space group C2/m (No. 12)
Inequivalent atoms, fractional coordinates:
Ho1 0.0000 0.0000 0.0000 [2 per cell]
Ho2 0.1665 0.5000 0.3340 [4 per cell]
Tm1 0.0000 0.0000 0.5000 [2 per cell]
Th1 0.1646 0.5000 0.8297 [4 per cell]
As1 0.0026 0.5000 0.2532 [4 per cell]
As2 0.1650 0.0000 0.0881 [4 per cell]
As3 0.1656 0.0000 0.5757 [4 per cell]

---

2.
## TbNpPt2 (GGA-PBE)

Data for a geometry-optimized TbNpPt2 structure.

ΔE_f ... -0.75 eV per atom

Unit cell a=7.0107 b=7.0107 c=7.0107 alpha=90.00 beta=90.00 gamma=90.00
Space group Fm-3m (No. 225)
Inequivalent atoms, fractional coordinates:
Tb1 0.0000 0.0000 0.0000 [4 per cell]
Np1 0.0000 0.0000 0.5000 [4 per cell]
Pt1 0.2500 0.2500 0.2500 [8 per cell]

---

3.
## Zr2AgAu (GGA-PBE)

Data for a geometry-optimized Zr2AgAu structure.

ΔE_f ... 0.11 eV per atom

Unit cell a=3.9458 b=3.9458 c=20.4863 alpha=90.00 beta=90.00 gamma=120.00
Space group R3m (No. 160, hexagonal axes)
Inequivalent atoms, fractional coordinates:
Zr1 0.0000 0.0000 0.0000 [3 per cell]
Zr2 0.0000 0.0000 0.1779 [3 per cell]
Ag1 0.0000 0.0000 0.7544 [3 per cell]
Au1 0.0000 0.0000 0.5908 [3 per cell]

---

4.
## MgPI2N (GGA-PBE)

Data for a geometry-optimized MgPI2N structure.

Energy relative to the elements, uncorrected ... 0.371 eV per atom

Unit cell a=5.8684 b=5.8684 c=3.4860 alpha=90.00 beta=90.00 gamma=90.00
Space group P4/mmm (No. 123)
Inequivalent atoms, fractional coordinates:
Mg1 0.0000 0.0000 0.0000 [1 per cell]
P1 0.5000 0.5000 0.5000 [1 per cell]
I1 0.0000 0.5000 0.5000 [2 per cell]
N1 0.5000 0.5000 0.0000 [1 per cell]

---

5.
## CeHoGe (GGA-PBE)

Data for a geometry-optimized CeHoGe structure.

ΔE_f ... -0.68 eV per atom

Unit cell a=4.1741 b=4.1741 c=16.8032 alpha=90.00 beta=90.00 gamma=90.00
Space group I4/mmm (No. 139)
Inequivalent atoms, fractional coordinates:
Ce1 0.0000 0.5000 0.0000 [4 per cell]
Ho1 0.0000 0.0000 0.1801 [4 per cell]
Ge1 0.0000 0.0000 0.3587 [4 per cell]

---

6.
## NaTcGe3 (GGA-PBE)

Data for a geometry-optimized NaTcGe3 structure.

ΔE_f ... 1.56 eV per atom

Unit cell a=4.8875 b=4.8875 c=4.8875 alpha=90.00 beta=90.00 gamma=90.00
Space group Pm-3m (No. 221)
Inequivalent atoms, fractional coordinates:
Na1 0.0000 0.0000 0.0000 [1 per cell]
Tc1 0.5000 0.5000 0.5000 [1 per cell]
Ge1 0.0000 0.0000 0.5000 [3 per cell]

---

7.
## CrMoPb2 (GGA-PBE)

Data for a geometry-optimized CrMoPb2 structure.

ΔE_f ... 0.80 eV per atom

Unit cell a=3.9004 b=5.0778 c=8.3710 alpha=90.00 beta=90.00 gamma=90.00
Space group Immm (No. 71)
Inequivalent atoms, fractional coordinates:
Cr1 0.0000 0.0000 0.0000 [2 per cell]
Mo1 0.0000 0.0000 0.5000 [2 per cell]
Pb1 0.0000 0.5000 0.2572 [4 per cell]

---

8.
## Rb4Se (GGA-PBE)

Data for a geometry-optimized Rb4Se structure.

Energy relative to the elements, uncorrected ... -0.543 eV per atom

Unit cell a=6.8656 b=6.8656 c=6.8656 alpha=90.00 beta=90.00 gamma=90.00
Space group Pm-3m (No. 221)
Inequivalent atoms, fractional coordinates:
Rb1 0.0000 0.0000 0.0000 [1 per cell]
Rb2 0.0000 0.5000 0.5000 [3 per cell]
Se1 0.5000 0.5000 0.5000 [1 per cell]

---

| no. | Fermi-level density of states (states/eV/cell) |
| --- | --- |
| 1 | 7.8 |
| 2 | 45.2 |
| 3 | 11.8 |
| 4 | 2.7 |
| 5 | 17.4 |
| 6 | 5.0 |
| 7 | 5.7 |
| 8 | 1.9 |